This record from Alexandria describes a relaxed Pm2SbAu crystal. The functional is GGA-PBE.

a b c (Å): 3.967 5.219 5.219
angles (deg): 90.00 90.00 90.00
Each line ends with the local moment (μB).
Sites, in units of the cell vectors:
Sb1 0.500 0.500 0.500  -0.01
Au1 0.500 0.000 0.000  0.01
Pm1 0.000 0.500 0.000  0.09
Pm2 0.000 0.000 0.500  0.09

E_tot = -5.07 eV/atom
Density of states at the Fermi level = 1.092 states/eV per atom
Energy above the most stable polymorph in this dataset = 72 meV/atom
Calculated volume = 27.012 Å³/atom
Formation energy from raw total energies = -0.844 eV/atom